(1)
A relaxed Cr2Te2I crystal, computed with PBE.

a = 3.5849 Å, b = 3.5849 Å, c = 19.8919 Å
α = 90.00°, β = 90.00°, γ = 90.00°
Space group I4/mmm (No. 139)
Symmetry-distinct sites (fractional):
Cr1 0.0000 0.5000 0.2500 [4 per cell]
Te1 0.0000 0.0000 0.1533 [4 per cell]
I1 0.0000 0.0000 0.5000 [2 per cell]

Results
**Crystal system**: tetragonal
**Energy relative to the elements, uncorrected**: 12 kJ/mol of formula units
**ΔE to the lowest computed polymorph**: 166.7 meV/atom



(2)
A relaxed AcGa3Ge3 crystal, computed with PBE.

a = 7.0252 Å, b = 7.0252 Å, c = 7.0252 Å
α = 90.00°, β = 90.00°, γ = 90.00°
Space group Pm-3n (No. 223)
Symmetry-distinct sites (fractional):
Ac1 0.0000 0.0000 0.0000 [2 per cell]
Ga1 0.0000 0.2500 0.5000 [6 per cell]
Ge1 0.0000 0.5000 0.2500 [6 per cell]

Results
**Crystal system**: cubic
**Formation energy from the elements**: -0.09 eV/atom
**ΔE to the lowest computed polymorph**: 167.1 meV/atom



(3)
A relaxed Tm2Ga5Ir4 crystal, computed with PBE.

a = 5.2746 Å, b = 9.6680 Å, c = 15.7293 Å
α = 90.00°, β = 90.00°, γ = 90.00°
Space group Fmmm (No. 69)
Symmetry-distinct sites (fractional):
Tm1 0.0000 0.0000 0.1612 [8 per cell]
Ga1 0.0000 0.0000 0.5000 [4 per cell]
Ga2 0.2500 0.2500 0.0000 [8 per cell]
Ga3 0.2500 0.2500 0.2500 [8 per cell]
Ir1 0.0000 0.1506 0.3721 [16 per cell]

Results
**Crystal system**: orthorhombic
**Formation energy from the elements**: -0.58 eV/atom



(4)
A relaxed CePmZn10 crystal, computed with PBE.

a = 4.2501 Å, b = 5.3746 Å, c = 9.2874 Å
α = 90.00°, β = 90.00°, γ = 90.00°
Space group Pmmm (No. 47)
Symmetry-distinct sites (fractional):
Ce1 0.0000 0.0000 0.0000 [1 per cell]
Pm1 0.0000 0.5000 0.5000 [1 per cell]
Zn1 0.0000 0.0000 0.3344 [2 per cell]
Zn2 0.0000 0.5000 0.1679 [2 per cell]
Zn3 0.5000 0.0000 0.5000 [1 per cell]
Zn4 0.5000 0.2482 0.2479 [4 per cell]
Zn5 0.5000 0.5000 0.0000 [1 per cell]

Results
**Crystal system**: orthorhombic
**Formation energy from the elements**: -0.27 eV/atom



(5)
A relaxed In2BrCl crystal, computed with PBE.

a = 4.4963 Å, b = 4.4963 Å, c = 12.5378 Å
α = 90.00°, β = 90.00°, γ = 90.00°
Space group I-4m2 (No. 119)
Symmetry-distinct sites (fractional):
In1 0.0000 0.0000 0.0000 [2 per cell]
In2 0.0000 0.5000 0.2500 [2 per cell]
Br1 0.0000 0.5000 0.7500 [2 per cell]
Cl1 0.0000 0.0000 0.5000 [2 per cell]

Results
**Crystal system**: tetragonal
**Energy relative to the elements, uncorrected**: -243 kJ/mol of formula units
**ΔE to the lowest computed polymorph**: 103.0 meV/atom



(6)
A relaxed Li3Pm2Ge2 crystal, computed with PBE.

a = 10.2152 Å, b = 4.6621 Å, c = 6.3077 Å
α = 90.00°, β = 101.76°, γ = 90.00°
Space group C2/m (No. 12)
Symmetry-distinct sites (fractional):
Li1 0.0000 0.0000 0.0000 [2 per cell]
Li2 0.1152 0.0000 0.4305 [4 per cell]
Pm1 0.1459 0.5000 0.7674 [4 per cell]
Ge1 0.1560 0.5000 0.2527 [4 per cell]

Results
**Crystal system**: monoclinic
**Formation energy from the elements**: -0.50 eV/atom